{"formula": "TiTeAs2Se", "functional": "GGA-PBEsol", "state": "optimized geometry", "e_form_raw_ev_per_atom": 1.02, "spacegroup": "P4/mmm (123)", "total_magnetization_mub_per_cell": 1.413, "total_energy_ev_per_atom": -4.166, "n_ef_per_ev_atom": 1.404, "crystal_system": "tetragonal", "cell": [[5.1677, 0.0000, 0.0000], [0.0000, 5.1677, 0.0000], [0.0000, 0.0000, 5.1581]], "species": ["Ti", "Te", "As", "As", "Se"], "fractional_positions": [[0.0000, 0.0000, 0.0000], [0.5000, 0.5000, 0.5000], [0.0000, 0.5000, 0.5000], [0.5000, 0.0000, 0.5000], [0.5000, 0.5000, 0.0000]]}

---

{"formula": "Ir2PtBr", "functional": "GGA-PBEsol", "state": "optimized geometry", "e_form_raw_ev_per_atom": 0.60, "spacegroup": "P4mm (99)", "total_magnetization_mub_per_cell": 0.000, "relative_energy_mev_per_atom": 0.0, "total_energy_ev_per_atom": -6.522, "n_ef_per_ev_atom": 0.978, "crystal_system": "tetragonal", "cell": [[2.8291, 0.0000, 0.0000], [0.0000, 2.8291, 0.0000], [0.0000, 0.0000, 8.0950]], "species": ["Ir", "Ir", "Pt", "Br"], "fractional_positions": [[0.0000, 0.0000, 0.0000], [0.5000, 0.5000, 0.2126], [0.0000, 0.0000, 0.4415], [0.5000, 0.5000, 0.7499]]}

---

{"formula": "MoOs2", "functional": "GGA-PBEsol", "state": "optimized geometry", "spacegroup": "I4_1/amd (141)", "total_magnetization_mub_per_cell": 0.000, "relative_energy_mev_per_atom": 60.9, "total_energy_ev_per_atom": -12.027, "n_ef_per_ev_atom": 0.824, "crystal_system": "tetragonal", "cell": [[-1.9261, 1.9261, 11.6700], [1.9261, -1.9261, 11.6700], [1.9261, 1.9261, -11.6700]], "species": ["Mo", "Mo", "Mo", "Mo", "Os", "Os", "Os", "Os", "Os", "Os", "Os", "Os"], "fractional_positions": [[0.2945, 0.5445, 0.7500], [0.4555, 0.7055, 0.7500], [0.5445, 0.2945, 0.2500], [0.7055, 0.4555, 0.2500], [0.0426, 0.7926, 0.2500], [0.1258, 0.3758, 0.7500], [0.2074, 0.9574, 0.2500], [0.3758, 0.1258, 0.2500], [0.6242, 0.8742, 0.7500], [0.7926, 0.0426, 0.7500], [0.8742, 0.6242, 0.2500], [0.9574, 0.2074, 0.7500]]}

---

Q: Which formula does entry 2 have?
A: Ir2PtBr